[1]
DFT (PBE-GGA) results for crystalline ScOs2Au at its relaxed geometry.

Geometry as CIF:
```
data_ScOs2Au
_space_group_name_H-M_alt 'C 1 2/m 1'
_space_group_IT_number 12
_space_group_name_Hall '-C 2y'
_cell_length_a 9.455
_cell_length_b 2.909
_cell_length_c 4.831
_cell_angle_alpha 90.00
_cell_angle_beta 101.07
_cell_angle_gamma 90.00
loop_
_atom_site_label
_atom_site_fract_x
_atom_site_fract_y
_atom_site_fract_z
Sc1 0.000 0.000 0.000
Os1 0.248 0.500 0.234
Au1 0.000 0.500 0.500
```

* energy above the most stable polymorph in this dataset: 0.206 eV per atom
* density of states at the Fermi level: 4.6 states/eV/f.u.

=====

[2]
DFT (PBE-GGA) results for crystalline ScAlNi at its relaxed geometry.

Geometry as CIF:
```
data_ScAlNi
_space_group_name_H-M_alt 'F -4 3 m'
_space_group_IT_number 216
_space_group_name_Hall 'F -4 2 3'
_cell_length_a 5.993
_cell_length_b 5.993
_cell_length_c 5.993
_cell_angle_alpha 90.00
_cell_angle_beta 90.00
_cell_angle_gamma 90.00
loop_
_atom_site_label
_atom_site_fract_x
_atom_site_fract_y
_atom_site_fract_z
Sc1 0.000 0.000 0.000
Al1 0.000 0.000 0.500
Ni1 0.250 0.250 0.250
```

* DFT total energy: -0.2087 hartree per atom
* density of states at the Fermi level: 4.1 states/eV/f.u.